VASP calculation (PBE) on crystalline GaBi3Pd3 at its relaxed geometry.

abc: 7.3073 12.4961 7.0280
angles: 90.00 101.37 90.00
Last column: nearest neighbours and their distance in Å.
Space group C2/m (No. 12)
Symmetry-distinct sites (fractional):
Ga (0.2087, 0.0000, 0.4676)  4 Pd 2.51-2.63
Bi (0.0000, 0.2648, 0.5000)  6 Pd 2.98-3.30
Bi (0.0000, 0.3183, 0.0000)  6 Pd 2.81-3.08
Bi (0.1646, 0.0000, 0.8759)  2 Ga 2.95-3.27, 5 Pd 2.96-3.05, 1 Bi 3.24
Pd (0.0098, 0.5000, 0.7142)  2 Ga 2.52-2.63
Pd (0.1774, 0.1450, 0.2171)  1 Ga 2.51

Computed properties:
Its formation energy is -256 meV per atom.


VASP calculation (PBE) on crystalline Ga2BiPd2 at its relaxed geometry.

abc: 3.8599 3.8599 12.6879
angles: 90.00 90.00 90.00
Last column: nearest neighbours and their distance in Å.
Space group I4/mmm (No. 139)
Symmetry-distinct sites (fractional):
Ga (0.0000, 0.5000, 0.2500)  4 Pd 2.58, 4 Ga 2.73
Bi (0.0000, 0.0000, 0.0000)  8 Pd 3.09
Pd (0.0000, 0.0000, 0.3852)  4 Ga 2.58

Computed properties:
For the offset from the most stable computed form, the calculation gives 0.000 eV per atom. Its formation energy is -382 meV per atom.


VASP calculation (PBE) on crystalline Ga3BiPd at its relaxed geometry.

abc: 4.9161 4.9161 4.9161
angles: 90.00 90.00 90.00
Last column: nearest neighbours and their distance in Å.
Space group Pm-3m (No. 221)
Symmetry-distinct sites (fractional):
Ga (0.0000, 0.0000, 0.5000)  2 Pd 2.46
Bi (0.5000, 0.5000, 0.5000)  12 Ga 3.48
Pd (0.0000, 0.0000, 0.0000)  6 Ga 2.46

Computed properties:
For the offset from the most stable computed form, the calculation gives 0.000 eV per atom. Its formation energy is -40 meV per atom.


VASP calculation (PBE) on crystalline GaBiPd6 at its relaxed geometry.

abc: 4.0529 4.0529 7.9703
angles: 90.00 90.00 90.00
Last column: nearest neighbours and their distance in Å.
Space group P4/mmm (No. 123)
Symmetry-distinct sites (fractional):
Ga (0.0000, 0.0000, 0.0000)  12 Pd 2.76-2.87
Bi (0.0000, 0.0000, 0.5000)  12 Pd 2.87-2.93
Pd (0.0000, 0.5000, 0.2348)  8 Pd 2.76-2.93, 2 Ga 2.76, 2 Bi 2.93
Pd (0.5000, 0.5000, 0.0000)  8 Pd 2.76, 4 Ga 2.87
Pd (0.5000, 0.5000, 0.5000)  4 Bi 2.87, 8 Pd 2.93

Computed properties:
For the offset from the most stable computed form, the calculation gives 0.000 eV per atom. Its formation energy is -373 meV per atom.


VASP calculation (PBE) on crystalline GaBi2Pd7 at its relaxed geometry.

abc: 7.6075 16.6785 3.1085
angles: 90.00 90.00 90.00
Last column: nearest neighbours and their distance in Å.
Space group Cmmm (No. 65)
Symmetry-distinct sites (fractional):
Ga (0.0000, 0.0000, 0.0000)  8 Pd 2.57
Bi (0.0000, 0.3299, 0.5000)  5 Pd 2.73-2.84
Pd (0.0000, 0.1954, 0.0000)  2 Bi 2.73, 4 Pd 2.79
Pd (0.0000, 0.5000, 0.5000)  4 Pd 2.77, 2 Bi 2.84
Pd (0.1895, 0.0867, 0.5000)  2 Ga 2.57, 1 Bi 2.74, 3 Pd 2.77-2.79

Computed properties:
Its formation energy is -111 meV per atom.


VASP calculation (PBE) on crystalline GaBi2Pd8 at its relaxed geometry.

abc: 4.6068 6.0385 13.9142
angles: 90.00 90.00 90.00
Last column: nearest neighbours and their distance in Å.
Space group Immm (No. 71)
Symmetry-distinct sites (fractional):
Ga (0.0000, 0.0000, 0.0000)  8 Pd 2.46-2.72
Bi (0.0000, 0.0000, 0.3240)  12 Pd 2.78-3.05
Pd (0.0000, 0.2560, 0.1380)  1 Ga 2.46
Pd (0.0000, 0.2619, 0.5000)  2 Ga 2.72, 7 Pd 2.88-3.00, 2 Bi 2.92
Pd (0.0000, 0.5000, 0.3198)  8 Pd 2.84-2.93, 4 Bi 3.02-3.05

Computed properties:
For the offset from the most stable computed form, the calculation gives 0.025 eV per atom. Its formation energy is -286 meV per atom.


no.,spin magnetization (μB/cell),mass density (g/cm3)
1,0.00,10.73
2,0.00,9.86
3,0.00,7.33
4,0.00,11.63
5,0.00,10.38
6,0.00,11.49